{"formula": "Rb2PaTe6Au2", "functional": "PBE", "state": "relaxed", "lattice": [[7.0308, -4.3566, 0.0000], [7.0308, 4.3566, 0.0000], [-4.5954, 0.0000, 7.2428]], "species": ["Rb", "Rb", "Pa", "Te", "Te", "Te", "Te", "Te", "Te", "Au", "Au"], "fractional_positions": [[0.2494, 0.2494, 0.2378], [0.7506, 0.7506, 0.7622], [0.0000, 0.0000, 0.5000], [0.2057, 0.7549, 0.2222], [0.2451, 0.7943, 0.7778], [0.2475, 0.2475, 0.7633], [0.7525, 0.7525, 0.2367], [0.7549, 0.2057, 0.2222], [0.7943, 0.2451, 0.7778], [0.4320, 0.4320, 0.7479], [0.5680, 0.5680, 0.2521]], "raw_formation_energy_ev_per_atom": -0.48, "magnetic_moment_mub_per_fu": 0.00}